1.
## ZnCuNi2 (GGA-PBEsol)

Data for a relaxed structure of ZnCuNi2.

Its spin magnetization is 0.0 μB per formula unit. The total energy comes out at -18.7 eV for the cell shown. The calculated formation energy is -0.12 eV per atom.

The space group is P4/mmm (No. 123) and the conventional cell measures 3.605, 3.605 and 3.417 Å, with angles of 90.00, 90.00 and 90.00 degrees. The inequivalent atoms are Zn at (0.000, 0.000, 0.000), Cu at (0.500, 0.500, 0.000) and Ni at (0.000, 0.500, 0.500).

2.
## ZnAsRu2 (GGA-PBEsol)

Data for a relaxed structure of ZnAsRu2.

Its spin magnetization is 0.0 μB per formula unit. The total energy comes out at -52.6 eV for the cell shown. As for the energy above the most stable polymorph in this dataset: 0.1225 eV/atom. The calculated formation energy is 0.19 eV per atom.

The space group is C2/m (No. 12) and the conventional cell measures 5.626, 7.988 and 2.824 Å, with angles of 90.00, 117.35 and 90.00 degrees. The inequivalent atoms are Zn at (0.000, 0.000, 0.000), As at (0.000, 0.500, 0.000) and Ru at (0.250, 0.250, 0.500).

3.
## CrCoAg2 (GGA-PBEsol)

Data for a relaxed structure of CrCoAg2.

Its spin magnetization is 1.7 μB per formula unit. The total energy comes out at -22.1 eV for the cell shown. As for the energy above the most stable polymorph in this dataset: 0.0845 eV/atom. The calculated formation energy is 0.62 eV per atom.

The space group is P4/mmm (No. 123) and the conventional cell measures 2.593, 2.593 and 8.186 Å, with angles of 90.00, 90.00 and 90.00 degrees. The inequivalent atoms are Cr at (0.000, 0.000, 0.000), Co at (0.000, 0.000, 0.500) and Ag at (0.500, 0.500, 0.255).

4.
## MgNiPt4 (GGA-PBEsol)

Data for a relaxed structure of MgNiPt4.

Its spin magnetization is 0.5 μB per formula unit. The total energy comes out at -144.3 eV for the cell shown. The calculated formation energy is -0.06 eV per atom.

The space group is F-43m (No. 216) and the conventional cell measures 7.300, 7.300 and 7.300 Å, with angles of 90.00, 90.00 and 90.00 degrees. The inequivalent atoms are Mg at (0.000, 0.000, 0.000), Ni at (0.250, 0.250, 0.250) and Pt at (0.125, 0.125, 0.625).

5.
## TaCo2Ag (GGA-PBEsol)

Data for a relaxed structure of TaCo2Ag.

Its spin magnetization is 0.0 μB per formula unit. The total energy comes out at -62.2 eV for the cell shown. As for the energy above the most stable polymorph in this dataset: 0.0569 eV/atom. The calculated formation energy is 0.06 eV per atom.

The space group is I4/mmm (No. 139) and the conventional cell measures 4.199, 4.199 and 5.962 Å, with angles of 90.00, 90.00 and 90.00 degrees. The inequivalent atoms are Ta at (0.000, 0.000, 0.000), Co at (0.000, 0.500, 0.250) and Ag at (0.000, 0.000, 0.500).

6.
## MoSI3 (GGA-PBEsol)

Data for a relaxed structure of MoSI3.

Its spin magnetization is 0.0 μB per formula unit. For the uncorrected formation energy, the calculation gives 0.6639 eV/atom. The total energy comes out at -18.1 eV for the cell shown.

The space group is Pm-3m (No. 221) and the conventional cell measures 5.317, 5.317 and 5.317 Å, with angles of 90.00, 90.00 and 90.00 degrees. The inequivalent atoms are Mo at (0.000, 0.000, 0.000), S at (0.500, 0.500, 0.500) and I at (0.000, 0.000, 0.500).

7.
## SrZrRh2 (GGA-PBEsol)

Data for a relaxed structure of SrZrRh2.

Its spin magnetization is 0.0 μB per formula unit. The total energy comes out at -29.3 eV for the cell shown. The calculated formation energy is -0.52 eV per atom.

The space group is P4/mmm (No. 123) and the conventional cell measures 3.274, 3.274 and 7.335 Å, with angles of 90.00, 90.00 and 90.00 degrees. The inequivalent atoms are Sr at (0.000, 0.000, 0.000), Zr at (0.000, 0.000, 0.500) and Rh at (0.500, 0.500, 0.298).

8.
## KFeN2 (GGA-PBEsol)

Data for a relaxed structure of KFeN2.

Its spin magnetization is 1.8 μB per formula unit. For the uncorrected formation energy, the calculation gives 1.6399 eV/atom. The total energy comes out at -82.4 eV for the cell shown. As for the energy above the most stable polymorph in this dataset: 1.8040 eV/atom.

The space group is Fm-3m (No. 225) and the conventional cell measures 5.657, 5.657 and 5.657 Å, with angles of 90.00, 90.00 and 90.00 degrees. The inequivalent atoms are K at (0.000, 0.000, 0.000), Fe at (0.000, 0.000, 0.500) and N at (0.250, 0.250, 0.250).

9.
## NdPd3 (GGA-PBEsol)

Data for a relaxed structure of NdPd3.

Its spin magnetization is 0.0 μB per formula unit. The total energy comes out at -26.1 eV for the cell shown. The calculated formation energy is -0.77 eV per atom.

The space group is Pm-3m (No. 221) and the conventional cell measures 4.120, 4.120 and 4.120 Å, with angles of 90.00, 90.00 and 90.00 degrees. The inequivalent atoms are Nd at (0.000, 0.000, 0.000) and Pd at (0.000, 0.500, 0.500).

10.
## SiPBr2 (GGA-PBEsol)

Data for a relaxed structure of SiPBr2.

Its spin magnetization is 0.0 μB per formula unit. For the uncorrected formation energy, the calculation gives 0.5664 eV/atom. The total energy comes out at -26.0 eV for the cell shown. As for the energy above the most stable polymorph in this dataset: 0.7215 eV/atom.

The space group is Cmmm (No. 65) and the conventional cell measures 3.269, 5.797 and 8.671 Å, with angles of 90.00, 90.00 and 90.00 degrees. The inequivalent atoms are Si at (0.000, 0.000, 0.000), P at (0.000, 0.000, 0.500) and Br at (0.000, 0.500, 0.254).

11.
## ZnAsRh2 (GGA-PBEsol)

Data for a relaxed structure of ZnAsRh2.

Its spin magnetization is 0.0 μB per formula unit. The total energy comes out at -48.2 eV for the cell shown. As for the energy above the most stable polymorph in this dataset: 0.0000 eV/atom. The calculated formation energy is -0.29 eV per atom.

The space group is Imm2 (No. 44) and the conventional cell measures 2.980, 3.793 and 10.293 Å, with angles of 90.00, 90.00 and 90.00 degrees. The inequivalent atoms are Zn at (0.000, 0.000, 0.000), As at (0.000, 0.500, 0.743), Rh at (0.000, 0.000, 0.424) and Rh at (0.000, 0.500, 0.182).

12.
## KTaAg (GGA-PBEsol)

Data for a relaxed structure of KTaAg.

Its spin magnetization is 3.4 μB per formula unit. The total energy comes out at -37.8 eV for the cell shown. As for the energy above the most stable polymorph in this dataset: 1.6835 eV/atom. The calculated formation energy is 2.51 eV per atom.

The space group is F-43m (No. 216) and the conventional cell measures 7.036, 7.036 and 7.036 Å, with angles of 90.00, 90.00 and 90.00 degrees. The inequivalent atoms are K at (0.000, 0.000, 0.000), Ta at (0.250, 0.250, 0.250) and Ag at (0.250, 0.250, 0.750).